PaCoSiOs | PBE-GGA | relaxed

## Properties
- Formation energy from raw total energies: -0.67 eV per formula unit
- Symmetry: No. 38
- DOS at the Fermi energy: 0.244 states/eV per atom

Cell lengths 4.2477, 3.9030, 4.8050 Å; angles 113.96, 90.00, 90.00 degrees
With the nearest neighbours (Å) after each atom.
Sites, in units of the cell vectors:
Pa  0.5000  0.1951  0.3901  1 Os 2.45
Co  0.0000  0.9548  0.9095  2 Si 2.35
Si  0.0000  0.6042  0.2085  2 Co 2.35, 2 Os 2.41
Os  0.5000  0.4738  0.9475  2 Si 2.41, 1 Pa 2.45